1.
Density functional theory data (PBE) for crystalline LaCSeN2 at its relaxed geometry.

Computed properties:
Polymorph energy (0 for the lowest one), meV per atom: 0
Formation energy (no corrections), eV/f.u.: 5.7
Final energy, eV per cell: -28.549

```
data_LaCSeN2
_chemical_formula_sum 'La1 C1 Se1 N2'
_space_group_name_H-M_alt 'P 4/m m m'
_space_group_IT_number 123
_space_group_name_Hall '-P 4 2'
_cell_length_a 4.122
_cell_length_b 4.122
_cell_length_c 4.028
_cell_angle_alpha 90.00
_cell_angle_beta 90.00
_cell_angle_gamma 90.00
loop_
_atom_site_label
_atom_site_fract_x
_atom_site_fract_y
_atom_site_fract_z
La1 0.000 0.000 0.000
C1 0.500 0.500 0.500
Se1 0.500 0.500 0.000
N1 0.000 0.500 0.500
```

=====

2.
Density functional theory data (PBE) for crystalline La6Sn2CN at its relaxed geometry.

Computed properties:
Formation energy (no corrections), eV/f.u.: -7.6
Final energy, eV per cell: -125.368

```
data_La6Sn2CN
_chemical_formula_sum 'La12 Sn4 C2 N2'
_space_group_name_H-M_alt 'I 4/m m m'
_space_group_IT_number 139
_space_group_name_Hall '-I 4 2'
_cell_length_a 7.299
_cell_length_b 7.299
_cell_length_c 10.340
_cell_angle_alpha 90.00
_cell_angle_beta 90.00
_cell_angle_gamma 90.00
loop_
_atom_site_label
_atom_site_fract_x
_atom_site_fract_y
_atom_site_fract_z
La1 0.000 0.000 0.249
La2 0.249 0.249 0.000
Sn1 0.000 0.500 0.250
C1 0.000 0.000 0.500
N1 0.000 0.000 0.000
```

=====

3.
Density functional theory data (PBE) for crystalline La2Tc2C2N at its relaxed geometry.

Computed properties:
Formation energy (no corrections), eV/f.u.: -2.6
Final energy, eV per cell: -119.904

```
data_La2Tc2C2N
_chemical_formula_sum 'La4 Tc4 C4 N2'
_space_group_name_H-M_alt 'C 1 2/m 1'
_space_group_IT_number 12
_cell_length_a 11.147
_cell_length_b 3.443
_cell_length_c 6.799
_cell_angle_alpha 90.00
_cell_angle_beta 123.63
_cell_angle_gamma 90.00
loop_
_space_group_symop_operation_xyz
'x,y,z'
'-x,-y,-z'
'-x,y,-z'
'x,-y,z'
'x+1/2,y+1/2,z'
'-x+1/2,-y+1/2,-z'
'-x+1/2,y+1/2,-z'
'x+1/2,-y+1/2,z'
loop_
_atom_site_label
_atom_site_fract_x
_atom_site_fract_y
_atom_site_fract_z
La1 0.064 0.000 0.337
Tc1 0.202 0.500 0.092
C1 0.184 0.500 0.748
N1 0.000 0.500 0.000
```

=====

4.
Density functional theory data (PBE) for crystalline LaTeCN2 at its relaxed geometry.

Computed properties:
Polymorph energy (0 for the lowest one), meV per atom: 459
Formation energy (no corrections), eV/f.u.: 9.7
Final energy, eV per cell: -24.285

```
data_LaTeCN2
_chemical_formula_sum 'La1 Te1 C1 N2'
_space_group_name_H-M_alt 'P 4/m m m'
_space_group_IT_number 123
_space_group_name_Hall '-P 4 2'
_cell_length_a 4.022
_cell_length_b 4.022
_cell_length_c 7.283
_cell_angle_alpha 90.00
_cell_angle_beta 90.00
_cell_angle_gamma 90.00
loop_
_atom_site_label
_atom_site_fract_x
_atom_site_fract_y
_atom_site_fract_z
La1 0.000 0.000 0.000
Te1 0.000 0.000 0.500
C1 0.500 0.500 0.500
N1 0.000 0.500 0.000
```

=====

5.
Density functional theory data (PBE) for crystalline LaTeCN2 at its relaxed geometry.

Computed properties:
Polymorph energy (0 for the lowest one), meV per atom: 0
Formation energy (no corrections), eV/f.u.: 7.4
Final energy, eV per cell: -26.579

```
data_LaTeCN2
_chemical_formula_sum 'La1 Te1 C1 N2'
_space_group_name_H-M_alt 'P 4/m m m'
_space_group_IT_number 123
_space_group_name_Hall '-P 4 2'
_cell_length_a 4.313
_cell_length_b 4.313
_cell_length_c 4.250
_cell_angle_alpha 90.00
_cell_angle_beta 90.00
_cell_angle_gamma 90.00
loop_
_atom_site_label
_atom_site_fract_x
_atom_site_fract_y
_atom_site_fract_z
La1 0.000 0.000 0.000
Te1 0.500 0.500 0.000
C1 0.500 0.500 0.500
N1 0.000 0.500 0.500
```

=====

6.
Density functional theory data (PBE) for crystalline LaThCN at its relaxed geometry.

Computed properties:
Formation energy (no corrections), eV/f.u.: -3.1
Final energy, eV per cell: -98.985

```
data_LaThCN
_chemical_formula_sum 'La3 Th3 C3 N3'
_space_group_name_H-M_alt 'R 3 m'
_space_group_IT_number 160
_space_group_name_Hall 'R 3 -2"'
_cell_length_a 3.8027
_cell_length_b 3.8027
_cell_length_c 18.5074
_cell_angle_alpha 90.00
_cell_angle_beta 90.00
_cell_angle_gamma 120.00
loop_
_atom_site_label
_atom_site_fract_x
_atom_site_fract_y
_atom_site_fract_z
La1 0.0000 0.0000 0.0000
Th1 0.0000 0.0000 0.5013
C1 0.0000 0.0000 0.2557
N1 0.0000 0.0000 0.7731
```

=====

7.
Density functional theory data (PBE) for crystalline La2TlC2N6 at its relaxed geometry.

Computed properties:
Formation energy (no corrections), eV/f.u.: -3.6
Final energy, eV per cell: -84.181

```
data_La2TlC2N6
_chemical_formula_sum 'La2 Tl1 C2 N6'
_space_group_name_H-M_alt 'P -1'
_space_group_IT_number 2
_cell_length_a 5.473
_cell_length_b 5.513
_cell_length_c 6.541
_cell_angle_alpha 112.10
_cell_angle_beta 104.62
_cell_angle_gamma 100.50
loop_
_space_group_symop_operation_xyz
'x,y,z'
'-x,-y,-z'
loop_
_atom_site_label
_atom_site_fract_x
_atom_site_fract_y
_atom_site_fract_z
La1 0.221 0.103 0.334
Tl1 0.500 0.500 0.000
C1 0.274 0.775 0.757
N1 0.157 0.805 0.919
N2 0.266 0.929 0.636
N3 0.409 0.582 0.704
```

=====

8.
Density functional theory data (PBE) for crystalline La2YCN at its relaxed geometry.

Computed properties:
Formation energy (no corrections), eV/f.u.: 2.2
Final energy, eV per cell: -31.635

```
data_La2YCN
_chemical_formula_sum 'La2 Y1 C1 N1'
_space_group_name_H-M_alt 'P 4/m m m'
_space_group_IT_number 123
_space_group_name_Hall '-P 4 2'
_cell_length_a 5.037
_cell_length_b 5.037
_cell_length_c 4.697
_cell_angle_alpha 90.00
_cell_angle_beta 90.00
_cell_angle_gamma 90.00
loop_
_atom_site_label
_atom_site_fract_x
_atom_site_fract_y
_atom_site_fract_z
La1 0.000 0.500 0.000
Y1 0.000 0.000 0.500
C1 0.000 0.000 0.000
N1 0.500 0.500 0.500
```

=====

9.
Density functional theory data (PBE) for crystalline La3ZnC2N6 at its relaxed geometry.

Computed properties:
Formation energy (no corrections), eV/f.u.: -7.6
Final energy, eV per cell: -92.092

```
data_La3ZnC2N6
_chemical_formula_sum 'La3 Zn1 C2 N6'
_space_group_name_H-M_alt 'P -3 m 1'
_space_group_IT_number 164
_space_group_name_Hall '-P 3 2"'
_cell_length_a 5.4073
_cell_length_b 5.4073
_cell_length_c 6.5555
_cell_angle_alpha 90.00
_cell_angle_beta 90.00
_cell_angle_gamma 120.00
loop_
_atom_site_label
_atom_site_fract_x
_atom_site_fract_y
_atom_site_fract_z
La1 0.0000 0.0000 0.0000
La2 0.3333 0.6667 0.6601
Zn1 0.0000 0.0000 0.5000
C1 0.3333 0.6667 0.2668
N1 0.1860 0.3720 0.2754
```

=====

10.
Density functional theory data (PBE) for crystalline Na2LaC at its relaxed geometry.

Computed properties:
Formation enthalpy at 0 K, eV/f.u.: 2.80
Final energy, eV per cell: -55.956

```
data_Na2LaC
_chemical_formula_sum 'Na8 La4 C4'
_space_group_name_H-M_alt 'I -4 2 d'
_space_group_IT_number 122
_space_group_name_Hall 'I -4 2bw'
_cell_length_a 3.871
_cell_length_b 3.871
_cell_length_c 25.941
_cell_angle_alpha 90.00
_cell_angle_beta 90.00
_cell_angle_gamma 90.00
loop_
_atom_site_label
_atom_site_fract_x
_atom_site_fract_y
_atom_site_fract_z
Na1 0.228 0.750 0.125
La1 0.000 0.000 0.500
C1 0.000 0.000 0.000
```

=====

11.
Density functional theory data (PBE) for crystalline NaLa2NiC at its relaxed geometry.

Computed properties:
Formation enthalpy at 0 K, eV/f.u.: 0.16
Final energy, eV per cell: -26.022

```
data_NaLa2NiC
_chemical_formula_sum 'Na1 La2 Ni1 C1'
_space_group_name_H-M_alt 'P 4/m m m'
_space_group_IT_number 123
_space_group_name_Hall '-P 4 2'
_cell_length_a 5.473
_cell_length_b 5.473
_cell_length_c 3.742
_cell_angle_alpha 90.00
_cell_angle_beta 90.00
_cell_angle_gamma 90.00
loop_
_atom_site_label
_atom_site_fract_x
_atom_site_fract_y
_atom_site_fract_z
Na1 0.000 0.000 0.000
La1 0.000 0.500 0.500
Ni1 0.500 0.500 0.000
C1 0.500 0.500 0.500
```

=====

12.
Density functional theory data (PBE) for crystalline NaLaC2O6 at its relaxed geometry.

Computed properties:
Polymorph energy (0 for the lowest one), meV per atom: 0
Formation energy (no corrections), eV/f.u.: -21.4
Final energy, eV per cell: -151.785

```
data_NaLaC2O6
_chemical_formula_sum 'Na2 La2 C4 O12'
_space_group_name_H-M_alt 'P m c 21'
_space_group_IT_number 26
_cell_length_a 5.222
_cell_length_b 6.517
_cell_length_c 7.259
_cell_angle_alpha 90.00
_cell_angle_beta 90.00
_cell_angle_gamma 90.00
loop_
_space_group_symop_operation_xyz
'x,y,z'
'-x,-y,z+1/2'
'-x,y,z'
'x,-y,z+1/2'
loop_
_atom_site_label
_atom_site_fract_x
_atom_site_fract_y
_atom_site_fract_z
Na1 0.000 0.024 0.000
La1 0.500 0.365 0.301
C1 0.000 0.470 0.972
C2 0.500 0.084 0.715
O1 0.000 0.355 0.387
O2 0.218 0.383 0.008
O3 0.288 0.011 0.252
O4 0.500 0.265 0.638
```